Entry from Alexandria: a geometry-optimized CdNiP2O structure (PBE+U).

Summary:
final energy: -13.22 eV/cell
space-group type: P4/mmm, No. 123
total magnetization: 0.592 μB/f.u.
calculated density: 4.0 Mg/m³
distance to the lowest polymorph of the same formula: 0.778 eV/atom

Cell: 5.0282 5.0282 4.0560 Å, 90.00 90.00 90.00°
Closest atoms and distances in Å follow each position.
Fractional positions:
Cd: 0.0000 0.0000 0.0000  2 O 2.03
Ni: 0.5000 0.5000 0.5000  8 P 3.23, 4 O 3.56
P: 0.5000 0.0000 0.0000  2 Cd 2.51
P: 0.0000 0.5000 0.0000  2 Cd 2.51
O: 0.0000 0.0000 0.5000  2 Cd 2.03